(1)
A geometry-optimized Rb3BaSb structure. Source: the Alexandria database, functional GGA-PBE.

Unit cell a=7.1703 b=7.1703 c=7.1703 alpha=90.00 beta=90.00 gamma=90.00
Space group Pm-3m (No. 221)
Unique sites:
Rb (0.0000, 0.0000, 0.5000)
Ba (0.5000, 0.5000, 0.5000)
Sb (0.0000, 0.0000, 0.0000)

Output
The value obtained for the formation energy (no corrections) is 17 meV per atom. The value obtained for the energy above the most stable polymorph in this dataset is 0.0000 eV/atom.

(2)
A geometry-optimized BNF3 structure. Source: the Alexandria database, functional GGA-PBE.

Unit cell a=3.8005 b=3.8005 c=3.8005 alpha=90.00 beta=90.00 gamma=90.00
Space group Pm-3m (No. 221)
Unique sites:
B (0.0000, 0.0000, 0.0000)
N (0.5000, 0.5000, 0.5000)
F (0.0000, 0.5000, 0.5000)

Output
The value obtained for the formation energy (no corrections) is 1034 meV per atom. The value obtained for the energy above the most stable polymorph in this dataset is 3.2613 eV/atom.

(3)
A geometry-optimized KHg2Br structure. Source: the Alexandria database, functional GGA-PBE.

Unit cell a=9.6156 b=5.1106 c=6.7011 alpha=90.00 beta=113.86 gamma=90.00
Space group Cm (No. 8)
Unique sites:
K (0.0000, 0.0000, 0.0000)
Hg (0.0081, 0.5000, 0.5182)
Hg (0.2805, 0.5000, 0.3554)
Br (0.2803, 0.0000, 0.8531)

Output
The value obtained for the formation energy (no corrections) is -737 meV per atom. The value obtained for the energy above the most stable polymorph in this dataset is 0.0335 eV/atom.

(4)
A geometry-optimized LiHg2SbH structure. Source: the Alexandria database, functional GGA-PBE.

Unit cell a=5.3804 b=5.3804 c=3.4621 alpha=90.00 beta=90.00 gamma=90.00
Space group P4/mmm (No. 123)
Unique sites:
Li (0.0000, 0.0000, 0.0000)
Hg (0.0000, 0.5000, 0.5000)
Sb (0.5000, 0.5000, 0.0000)
H (0.0000, 0.0000, 0.5000)

Output
For the uncorrected energy, the calculation gives -1.955 eV/atom.

(5)
A geometry-optimized KAlOs2 structure. Source: the Alexandria database, functional GGA-PBE.

Unit cell a=5.2336 b=5.2336 c=2.6007 alpha=90.00 beta=90.00 gamma=90.00
Space group P4/mmm (No. 123)
Unique sites:
K (0.0000, 0.0000, 0.0000)
Al (0.5000, 0.5000, 0.0000)
Os (0.0000, 0.5000, 0.5000)

Output
The value obtained for the formation energy is 1.4426 eV/atom.

(6)
A geometry-optimized K2RhAu structure. Source: the Alexandria database, functional GGA-PBE.

Unit cell a=3.0582 b=5.0983 c=6.1577 alpha=90.00 beta=90.00 gamma=90.00
Space group Pmmm (No. 47)
Unique sites:
K (0.0000, 0.0000, 0.2455)
Rh (0.5000, 0.5000, 0.0000)
Au (0.5000, 0.5000, 0.5000)

Output
The value obtained for the energy above the most stable polymorph in this dataset is 0.2645 eV/atom. The value obtained for the formation energy is 0.4137 eV/atom.

(7)
A geometry-optimized TeBr structure. Source: the Alexandria database, functional GGA-PBE.

Unit cell a=4.5543 b=4.5543 c=7.7262 alpha=90.00 beta=90.00 gamma=90.00
Space group P4/nmm (No. 129, origin choice 2)
Unique sites:
Te (0.2500, 0.2500, 0.0245)
Br (0.2500, 0.2500, 0.6938)

Output
The value obtained for the formation energy (no corrections) is -27 meV per atom.

(8)
A geometry-optimized Er6MgCd5 structure. Source: the Alexandria database, functional GGA-PBE.

Unit cell a=5.2526 b=15.8392 c=7.4203 alpha=90.00 beta=90.00 gamma=90.00
Space group Cmmm (No. 65)
Unique sites:
Er (0.0000, 0.0000, 0.2462)
Er (0.0000, 0.3316, 0.2509)
Mg (0.0000, 0.5000, 0.5000)
Cd (0.0000, 0.1597, 0.5000)
Cd (0.0000, 0.1657, 0.0000)
Cd (0.0000, 0.5000, 0.0000)

Output
The value obtained for the formation energy is -0.2772 eV/atom.

(9)
A geometry-optimized AcHoOs structure. Source: the Alexandria database, functional GGA-PBE.

Unit cell a=3.5366 b=3.5366 c=13.8461 alpha=90.00 beta=90.00 gamma=90.00
Space group I4mm (No. 107)
Unique sites:
Ac (0.0000, 0.0000, 0.0000)
Ho (0.0000, 0.0000, 0.7521)
Os (0.0000, 0.0000, 0.3625)

Output
The value obtained for the energy above the most stable polymorph in this dataset is 0.0464 eV/atom. The value obtained for the formation energy is -0.0188 eV/atom.

(10)
A geometry-optimized Tb2Mn2AlNi5 structure. Source: the Alexandria database, functional GGA-PBE.

Unit cell a=9.2013 b=9.2013 c=3.5935 alpha=90.00 beta=90.00 gamma=90.00
Space group P4/mbm (No. 127)
Unique sites:
Tb (0.1796, 0.3204, 0.0000)
Mn (0.1199, 0.6199, 0.0000)
Al (0.0000, 0.0000, 0.0000)
Ni (0.0000, 0.5000, 0.5000)
Ni (0.0565, 0.7970, 0.5000)

Output
The value obtained for the formation energy is -0.1963 eV/atom.

(11)
A geometry-optimized LiSb2Br structure. Source: the Alexandria database, functional GGA-PBE.

Unit cell a=3.7010 b=3.6894 c=9.3877 alpha=90.00 beta=101.28 gamma=90.00
Space group Pm (No. 6)
Unique sites:
Li (0.0000, 0.0000, 0.0000)
Sb (0.1842, 0.0000, 0.3672)
Sb (0.7673, 0.5000, 0.5348)
Br (0.4917, 0.5000, 0.9831)

Output
The value obtained for the formation energy (no corrections) is -558 meV per atom. The value obtained for the energy above the most stable polymorph in this dataset is 0.1299 eV/atom.

(12)
A geometry-optimized MgHgPt2Rh structure. Source: the Alexandria database, functional GGA-PBE.

Unit cell a=4.9913 b=4.9913 c=4.8070 alpha=90.00 beta=90.00 gamma=90.00
Space group P4/mmm (No. 123)
Unique sites:
Mg (0.0000, 0.0000, 0.0000)
Hg (0.0000, 0.0000, 0.5000)
Pt (0.0000, 0.5000, 0.5000)
Rh (0.5000, 0.5000, 0.0000)

Output
The value obtained for the formation energy is 1.2485 eV/atom.